No. 1
Crystalline CeHo5Tm6 at its relaxed geometry, computed with PBE-GGA.

- theoretical density (g/cm³) = 8.99
- SG = C2/m (12)
- total magnetic moment (μB/f.u.) = 0.942
- ΔE_f (eV per atom) = 0.036

Geometry as extended XYZ:
```
12
Lattice="8.581 -3.508 0.000 8.581 3.508 0.000 -0.019 0.000 6.068" Properties=species:S:1:pos:R:3 pbc="T T T"
Ce 0.000 0.000 0.000
Ho 2.854 0.000 4.060
Ho 5.699 0.000 2.026
Ho 8.581 0.000 0.000
Ho 11.444 0.000 4.042
Ho 14.290 0.000 2.008
Tm 5.715 1.764 5.066
Tm 8.572 1.775 3.034
Tm 11.429 1.764 1.002
Tm 5.715 -1.764 5.066
Tm 8.572 -1.775 3.034
Tm 11.429 -1.764 1.002
```

=====

No. 2
Crystalline CeHoTm2 at its relaxed geometry, computed with PBE-GGA.

- theoretical density (g/cm³) = 8.85
- SG = P4/mmm (123)
- total magnetic moment (μB/f.u.) = 0.673
- offset from the most stable computed form (meV/atom) = 10
- ΔE_f (eV per atom) = 0.063

Geometry as extended XYZ:
```
4
Lattice="3.494 0.000 0.000 0.000 3.494 0.000 0.000 0.000 9.882" Properties=species:S:1:pos:R:3 pbc="T T T"
Ce 0.000 0.000 0.000
Ho 0.000 0.000 4.941
Tm 1.747 1.747 2.439
Tm 1.747 1.747 7.443
```

=====

No. 3
Crystalline Ce2Ho15Tm2 at its relaxed geometry, computed with PBE-GGA.

- theoretical density (g/cm³) = 8.28
- SG = R-3m (166)
- total magnetic moment (μB/f.u.) = 0.702
- ΔE_f (eV per atom) = 0.309

Geometry as extended XYZ:
```
19
Lattice="5.521 3.187 5.873 -5.521 3.187 5.873 0.000 -6.375 5.873" Properties=species:S:1:pos:R:3 pbc="T T T"
Ce 0.000 0.000 1.325
Ce 0.000 0.000 16.295
Ho -5.521 0.000 8.810
Ho -1.682 -3.461 5.873
Ho -2.760 1.594 2.937
Ho -3.839 0.274 5.873
Ho -2.693 -1.555 8.312
Ho 1.682 -3.461 5.873
Ho -2.157 3.187 5.873
Ho 0.000 -3.109 9.308
Ho -2.693 1.555 9.308
Ho 2.760 1.594 2.937
Ho 2.693 -1.555 8.312
Ho 0.000 3.109 8.312
Ho 3.839 0.274 5.873
Ho 2.157 3.187 5.873
Ho 2.693 1.555 9.308
Tm 0.000 0.000 5.596
Tm 0.000 0.000 12.024
```

=====

No. 4
Crystalline Ce4Ho9Tm11 at its relaxed geometry, computed with PBE-GGA.

- theoretical density (g/cm³) = 8.79
- SG = Cmmm (65)
- total magnetic moment (μB/f.u.) = 3.983
- ΔE_f (eV per atom) = 0.099

Geometry as extended XYZ:
```
24
Lattice="8.258 -12.328 0.000 8.258 12.328 0.000 0.000 0.000 3.622" Properties=species:S:1:pos:R:3 pbc="T T T"
Ce 2.497 2.440 0.000
Ce 2.497 -2.440 0.000
Ce 14.019 2.440 0.000
Ce 14.019 -2.440 0.000
Ho 0.000 0.000 0.000
Ho 6.572 6.485 0.000
Ho 5.927 1.794 0.000
Ho 9.944 6.485 0.000
Ho 5.927 -1.794 0.000
Ho 10.590 1.794 0.000
Ho 6.572 -6.485 0.000
Ho 10.590 -1.794 0.000
Ho 9.944 -6.485 0.000
Tm 4.481 4.451 1.811
Tm 8.258 8.927 1.811
Tm 3.535 0.000 1.811
Tm 8.258 3.887 1.811
Tm 4.481 -4.451 1.811
Tm 8.258 0.000 1.811
Tm 12.036 4.451 1.811
Tm 8.258 -3.887 1.811
Tm 12.982 0.000 1.811
Tm 8.258 -8.927 1.811
Tm 12.036 -4.451 1.811
```

=====

No. 5
Crystalline CeHo4Tm4 at its relaxed geometry, computed with PBE-GGA.

- theoretical density (g/cm³) = 8.91
- SG = I4/mmm (139)
- total magnetic moment (μB/f.u.) = 1.003
- ΔE_f (eV per atom) = 0.044

Geometry as extended XYZ:
```
9
Lattice="-5.259 5.259 2.486 5.259 -5.259 2.486 5.259 5.259 -2.486" Properties=species:S:1:pos:R:3 pbc="T T T"
Ce 0.000 0.000 0.000
Ho 3.516 3.516 0.000
Ho 1.743 -1.743 2.486
Ho -1.743 1.743 2.486
Ho 1.743 1.743 2.486
Tm 3.508 0.000 0.000
Tm 7.009 0.000 0.000
Tm 0.000 3.508 0.000
Tm 0.000 7.009 0.000
```

=====

No. 6
Crystalline CeHo2Tm3 at its relaxed geometry, computed with PBE-GGA.

- theoretical density (g/cm³) = 8.87
- SG = Cmmm (65)
- total magnetic moment (μB/f.u.) = 1.034
- offset from the most stable computed form (meV/atom) = 0
- ΔE_f (eV per atom) = 0.055

Geometry as extended XYZ:
```
6
Lattice="2.485 -7.433 0.000 2.485 7.433 0.000 0.000 0.000 4.947" Properties=species:S:1:pos:R:3 pbc="T T T"
Ce 0.000 0.000 0.000
Ho 2.485 2.482 0.000
Ho 2.485 -2.482 0.000
Tm 2.485 4.983 2.474
Tm 2.485 0.000 2.474
Tm 2.485 -4.983 2.474
```

=====

No. 7
Crystalline Ce2Y3Ho6Tm at its relaxed geometry, computed with PBE-GGA.

- theoretical density (g/cm³) = 7.58
- SG = C2/m (12)
- total magnetic moment (μB/f.u.) = 1.792
- ΔE_f (eV per atom) = 0.048

Geometry as extended XYZ:
```
12
Lattice="3.058 -5.296 0.000 3.058 5.296 0.000 -2.038 0.000 11.528" Properties=species:S:1:pos:R:3 pbc="T T T"
Ce 3.058 3.532 0.000
Ce 3.058 -3.532 0.000
Y -1.019 0.000 5.764
Y 2.039 1.759 5.764
Y 2.039 -1.759 5.764
Ho -0.007 1.774 8.673
Ho 1.012 0.000 2.857
Ho -0.007 -1.774 8.673
Ho 4.086 1.774 2.855
Ho 3.067 0.000 8.671
Ho 4.086 -1.774 2.855
Tm 3.058 0.000 0.000
```

=====

No. 8
Crystalline Ce2Y3HoTm6 at its relaxed geometry, computed with PBE-GGA.

- theoretical density (g/cm³) = 7.79
- SG = C2/m (12)
- total magnetic moment (μB/f.u.) = 1.684
- ΔE_f (eV per atom) = 0.050

Geometry as extended XYZ:
```
12
Lattice="3.046 -5.273 0.000 3.046 5.273 0.000 -2.029 0.000 11.452" Properties=species:S:1:pos:R:3 pbc="T T T"
Ce 3.046 3.516 0.000
Ce 3.046 -3.516 0.000
Y -1.015 0.000 5.726
Y 2.031 1.751 5.726
Y 2.031 -1.751 5.726
Ho 3.046 0.000 0.000
Tm -0.009 1.768 8.615
Tm 1.006 0.000 2.839
Tm -0.009 -1.768 8.615
Tm 4.071 1.768 2.838
Tm 3.056 0.000 8.614
Tm 4.071 -1.768 2.838
```

=====

No. 9
Crystalline CeY3Ho6Tm2 at its relaxed geometry, computed with PBE-GGA.

- theoretical density (g/cm³) = 7.70
- SG = C2/m (12)
- total magnetic moment (μB/f.u.) = 1.144
- ΔE_f (eV per atom) = 0.039

Geometry as extended XYZ:
```
12
Lattice="3.059 -5.295 0.000 3.059 5.295 0.000 -2.036 0.000 11.538" Properties=species:S:1:pos:R:3 pbc="T T T"
Ce 0.000 0.000 0.000
Y 2.041 3.522 5.769
Y 2.041 0.000 5.769
Y 2.041 -3.522 5.769
Ho 1.017 1.755 2.861
Ho -0.009 0.000 8.675
Ho 1.017 -1.755 2.861
Ho 3.065 1.755 8.677
Ho 4.091 0.000 2.862
Ho 3.065 -1.755 8.677
Tm 3.059 1.765 0.000
Tm 3.059 -1.765 0.000
```

=====

No. 10
Crystalline Ce2YHo6Tm3 at its relaxed geometry, computed with PBE-GGA.

- theoretical density (g/cm³) = 8.40
- SG = C2/m (12)
- total magnetic moment (μB/f.u.) = 1.842
- ΔE_f (eV per atom) = 0.051

Geometry as extended XYZ:
```
12
Lattice="3.046 -5.275 0.000 3.046 5.275 0.000 -2.031 0.000 11.478" Properties=species:S:1:pos:R:3 pbc="T T T"
Ce 3.046 3.518 0.000
Ce 3.046 -3.518 0.000
Y 3.046 0.000 0.000
Ho -0.013 1.772 8.598
Ho 1.005 0.000 2.883
Ho -0.013 -1.772 8.598
Ho 4.075 1.772 2.881
Ho 3.057 0.000 8.596
Ho 4.075 -1.772 2.881
Tm -1.015 0.000 5.739
Tm 2.031 1.752 5.739
Tm 2.031 -1.752 5.739
```

=====

No. 11
Crystalline CeY6Ho2Tm3 at its relaxed geometry, computed with PBE-GGA.

- theoretical density (g/cm³) = 6.64
- SG = C2/m (12)
- total magnetic moment (μB/f.u.) = 1.159
- ΔE_f (eV per atom) = 0.044

Geometry as extended XYZ:
```
12
Lattice="3.071 -5.315 0.000 3.071 5.315 0.000 -2.045 0.000 11.565" Properties=species:S:1:pos:R:3 pbc="T T T"
Ce 0.000 0.000 0.000
Y 1.020 1.763 2.902
Y -0.009 0.000 8.660
Y 1.020 -1.763 2.902
Y 3.076 1.763 8.663
Y 4.105 0.000 2.906
Y 3.076 -1.763 8.663
Ho 3.071 1.771 0.000
Ho 3.071 -1.771 0.000
Tm 2.048 3.536 5.783
Tm 2.048 0.000 5.783
Tm 2.048 -3.536 5.783
```

=====

No. 12
Crystalline CeY3Ho2Tm6 at its relaxed geometry, computed with PBE-GGA.

- theoretical density (g/cm³) = 7.86
- SG = C2/m (12)
- total magnetic moment (μB/f.u.) = 1.072
- ΔE_f (eV per atom) = 0.042

Geometry as extended XYZ:
```
12
Lattice="3.051 -5.280 0.000 3.051 5.280 0.000 -2.033 0.000 11.479" Properties=species:S:1:pos:R:3 pbc="T T T"
Ce 0.000 0.000 0.000
Y 2.035 3.511 5.739
Y 2.035 0.000 5.739
Y 2.035 -3.511 5.739
Ho 3.051 1.759 0.000
Ho 3.051 -1.759 0.000
Tm 1.015 1.748 2.852
Tm -0.017 0.000 8.624
Tm 1.015 -1.748 2.852
Tm 3.054 1.748 8.627
Tm 4.086 0.000 2.854
Tm 3.054 -1.748 8.627
```